# Sc2AuCl, single point on PBEsol structure, DFT meta-GGA SCAN
# Theoretical density   6.1 g cm⁻³
# Size of the total moment   1.41 μB per formula unit
# VASP energy   -109.40 eV per cell
data_Sc2AuCl
_symmetry_space_group_name_H-M 'P 1'
_symmetry_Int_Tables_number 1
_symmetry_space_group_name_Hall 'P 1'
_cell_length_a 3.344
_cell_length_b 3.344
_cell_length_c 9.288
_cell_angle_alpha 79.63
_cell_angle_beta 79.63
_cell_angle_gamma 60.00
loop_
_atom_site_label
_atom_site_type_symbol
_atom_site_fract_x
_atom_site_fract_y
_atom_site_fract_z
Sc1 Sc 0.993 0.993 0.022
Sc2 Sc 0.753 0.753 0.741
Au1 Au 0.490 0.490 0.530
Cl1 Cl 0.264 0.264 0.207


# Ta5Ga3, single point on PBEsol structure, DFT meta-GGA SCAN
# Theoretical density   14.0 g cm⁻³
# Size of the total moment   0.00 μB per formula unit
# Formation enthalpy at 0 K   -1.82 eV per formula unit
# VASP energy   -767.56 eV per cell
data_Ta5Ga3
_symmetry_space_group_name_H-M 'P 1'
_symmetry_Int_Tables_number 1
_symmetry_space_group_name_Hall 'P 1'
_cell_length_a 5.218
_cell_length_b 7.647
_cell_length_c 7.647
_cell_angle_alpha 120.00
_cell_angle_beta 90.00
_cell_angle_gamma 90.00
loop_
_atom_site_label
_atom_site_type_symbol
_atom_site_fract_x
_atom_site_fract_y
_atom_site_fract_z
Ta1 Ta 0.500 0.333 0.667
Ta2 Ta 0.000 0.667 0.333
Ta3 Ta 0.500 0.667 0.333
Ta4 Ta 0.000 0.333 0.667
Ta5 Ta 0.250 0.000 0.753
Ta6 Ta 0.750 0.753 0.753
Ta7 Ta 0.750 0.247 0.000
Ta8 Ta 0.250 0.753 0.000
Ta9 Ta 0.250 0.247 0.247
Ta10 Ta 0.750 0.000 0.247
Ga1 Ga 0.250 0.000 0.394
Ga2 Ga 0.750 0.394 0.394
Ga3 Ga 0.750 0.606 0.000
Ga4 Ga 0.250 0.394 0.000
Ga5 Ga 0.250 0.606 0.606
Ga6 Ga 0.750 0.000 0.606


# LaPW2, single point on PBEsol structure, DFT meta-GGA SCAN
# Theoretical density   12.0 g cm⁻³
# Size of the total moment   0.00 μB per formula unit
# Formation enthalpy at 0 K   1.21 eV per formula unit
# VASP energy   -191.67 eV per cell
data_LaPW2
_symmetry_space_group_name_H-M 'P 1'
_symmetry_Int_Tables_number 1
_symmetry_space_group_name_Hall 'P 1'
_cell_length_a 3.301
_cell_length_b 4.748
_cell_length_c 5.164
_cell_angle_alpha 101.40
_cell_angle_beta 90.00
_cell_angle_gamma 110.34
loop_
_atom_site_label
_atom_site_type_symbol
_atom_site_fract_x
_atom_site_fract_y
_atom_site_fract_z
La1 La 0.000 0.000 0.500
P1 P 0.500 0.000 0.000
W1 W 0.778 0.555 0.828
W2 W 0.222 0.445 0.172


# Zr7Pb, single point on PBEsol structure, DFT meta-GGA SCAN
# Theoretical density   8.0 g cm⁻³
# Size of the total moment   0.00 μB per formula unit
# Formation enthalpy at 0 K   -0.90 eV per formula unit
# VASP energy   -291.57 eV per cell
data_Zr7Pb
_symmetry_space_group_name_H-M 'P 1'
_symmetry_Int_Tables_number 1
_symmetry_space_group_name_Hall 'P 1'
_cell_length_a 6.294
_cell_length_b 6.294
_cell_length_c 6.294
_cell_angle_alpha 60.00
_cell_angle_beta 60.00
_cell_angle_gamma 60.00
loop_
_atom_site_label
_atom_site_type_symbol
_atom_site_fract_x
_atom_site_fract_y
_atom_site_fract_z
Pb1 Pb 0.000 0.000 0.000
Zr1 Zr 0.000 0.500 0.000
Zr2 Zr 0.500 0.000 0.000
Zr3 Zr 0.000 0.000 0.500
Zr4 Zr 0.500 0.000 0.500
Zr5 Zr 0.000 0.500 0.500
Zr6 Zr 0.500 0.500 0.000
Zr7 Zr 0.500 0.500 0.500


# Fe2NiAu, single point on PBEsol structure, DFT meta-GGA SCAN
# Theoretical density   11.9 g cm⁻³
# Size of the total moment   6.61 μB per formula unit
# Formation enthalpy at 0 K   0.48 eV per formula unit
# VASP energy   -121.11 eV per cell
data_Fe2NiAu
_symmetry_space_group_name_H-M 'P 1'
_symmetry_Int_Tables_number 1
_symmetry_space_group_name_Hall 'P 1'
_cell_length_a 2.644
_cell_length_b 2.644
_cell_length_c 8.601
_cell_angle_alpha 81.16
_cell_angle_beta 81.16
_cell_angle_gamma 60.00
loop_
_atom_site_label
_atom_site_type_symbol
_atom_site_fract_x
_atom_site_fract_y
_atom_site_fract_z
Au1 Au 0.000 0.000 0.000
Fe1 Fe 0.243 0.243 0.270
Fe2 Fe 0.757 0.757 0.730
Ni1 Ni 0.500 0.500 0.500


# VBiPb2O6, single point on PBEsol structure, DFT meta-GGA SCAN
# Theoretical density   7.9 g cm⁻³
# Size of the total moment   0.00 μB per formula unit
# VASP energy   -1208.91 eV per cell
data_VBiPb2O6
_symmetry_space_group_name_H-M 'P 1'
_symmetry_Int_Tables_number 1
_symmetry_space_group_name_Hall 'P 1'
_cell_length_a 6.026
_cell_length_b 9.450
_cell_length_c 11.317
_cell_angle_alpha 90.00
_cell_angle_beta 90.00
_cell_angle_gamma 90.00
loop_
_atom_site_label
_atom_site_type_symbol
_atom_site_fract_x
_atom_site_fract_y
_atom_site_fract_z
V1 V 0.250 0.513 0.170
V2 V 0.750 0.013 0.330
V3 V 0.750 0.487 0.830
V4 V 0.250 0.987 0.670
Bi1 Bi 0.750 0.477 0.406
Bi2 Bi 0.250 0.523 0.594
Bi3 Bi 0.750 0.023 0.906
Bi4 Bi 0.250 0.977 0.094
Pb1 Pb 0.250 0.265 0.888
Pb2 Pb 0.750 0.735 0.112
Pb3 Pb 0.750 0.188 0.609
Pb4 Pb 0.250 0.235 0.388
Pb5 Pb 0.750 0.312 0.109
Pb6 Pb 0.250 0.688 0.891
Pb7 Pb 0.750 0.765 0.612
Pb8 Pb 0.250 0.812 0.391
O1 O 0.750 0.194 0.320
O2 O 0.250 0.462 0.023
O3 O 0.988 0.854 0.987
O4 O 0.488 0.146 0.013
O5 O 0.012 0.354 0.513
O6 O 0.488 0.354 0.513
O7 O 0.512 0.646 0.487
O8 O 0.988 0.646 0.487
O9 O 0.978 0.556 0.761
O10 O 0.478 0.444 0.239
O11 O 0.478 0.056 0.739
O12 O 0.250 0.038 0.523
O13 O 0.022 0.444 0.239
O14 O 0.750 0.538 0.977
O15 O 0.978 0.944 0.261
O16 O 0.250 0.694 0.180
O17 O 0.750 0.306 0.820
O18 O 0.250 0.806 0.680
O19 O 0.522 0.944 0.261
O20 O 0.750 0.962 0.477
O21 O 0.522 0.556 0.761
O22 O 0.022 0.056 0.739
O23 O 0.012 0.146 0.013
O24 O 0.512 0.854 0.987


# CaAl9Co2, single point on PBEsol structure, DFT meta-GGA SCAN
# Theoretical density   3.3 g cm⁻³
# Size of the total moment   0.00 μB per formula unit
# Formation enthalpy at 0 K   -4.72 eV per formula unit
# VASP energy   -118.76 eV per cell
data_CaAl9Co2
_symmetry_space_group_name_H-M 'P 1'
_symmetry_Int_Tables_number 1
_symmetry_space_group_name_Hall 'P 1'
_cell_length_a 3.811
_cell_length_b 7.843
_cell_length_c 7.843
_cell_angle_alpha 120.00
_cell_angle_beta 90.00
_cell_angle_gamma 90.00
loop_
_atom_site_label
_atom_site_type_symbol
_atom_site_fract_x
_atom_site_fract_y
_atom_site_fract_z
Ca1 Ca 0.000 0.000 0.000
Co1 Co 0.000 0.333 0.667
Co2 Co 0.000 0.667 0.333
Al1 Al 0.000 0.000 0.500
Al2 Al 0.000 0.500 0.000
Al3 Al 0.000 0.500 0.500
Al4 Al 0.500 0.575 0.788
Al5 Al 0.500 0.212 0.425
Al6 Al 0.500 0.212 0.788
Al7 Al 0.500 0.425 0.212
Al8 Al 0.500 0.788 0.575
Al9 Al 0.500 0.788 0.212


# CdAuN2O, single point on PBEsol structure, DFT meta-GGA SCAN
# Theoretical density   8.8 g cm⁻³
# Size of the total moment   2.36 μB per formula unit
# VASP energy   -117.84 eV per cell
data_CdAuN2O
_symmetry_space_group_name_H-M 'P 1'
_symmetry_Int_Tables_number 1
_symmetry_space_group_name_Hall 'P 1'
_cell_length_a 3.937
_cell_length_b 3.937
_cell_length_c 4.287
_cell_angle_alpha 90.00
_cell_angle_beta 90.00
_cell_angle_gamma 90.00
loop_
_atom_site_label
_atom_site_type_symbol
_atom_site_fract_x
_atom_site_fract_y
_atom_site_fract_z
N1 N 0.000 0.500 0.000
N2 N 0.500 0.000 0.000
Au1 Au 0.000 0.000 0.000
O1 O 0.000 0.000 0.500
Cd1 Cd 0.500 0.500 0.500


# TlP2Ru, single point on PBEsol structure, DFT meta-GGA SCAN
# Theoretical density   8.0 g cm⁻³
# Size of the total moment   0.00 μB per formula unit
# Formation enthalpy at 0 K   -0.22 eV per formula unit
# VASP energy   -128.20 eV per cell
data_TlP2Ru
_symmetry_space_group_name_H-M 'P 1'
_symmetry_Int_Tables_number 1
_symmetry_space_group_name_Hall 'P 1'
_cell_length_a 3.022
_cell_length_b 4.355
_cell_length_c 6.325
_cell_angle_alpha 102.96
_cell_angle_beta 90.00
_cell_angle_gamma 110.30
loop_
_atom_site_label
_atom_site_type_symbol
_atom_site_fract_x
_atom_site_fract_y
_atom_site_fract_z
P1 P 0.048 0.096 0.941
P2 P 0.172 0.343 0.668
Ru1 Ru 0.449 0.899 0.647
Tl1 Tl 0.831 0.662 0.245


# CrSbTeO6, single point on PBEsol structure, DFT meta-GGA SCAN
# Theoretical density   6.2 g cm⁻³
# Size of the total moment   3.00 μB per formula unit
# VASP energy   -289.10 eV per cell
data_CrSbTeO6
_symmetry_space_group_name_H-M 'P 1'
_symmetry_Int_Tables_number 1
_symmetry_space_group_name_Hall 'P 1'
_cell_length_a 4.731
_cell_length_b 4.731
_cell_length_c 9.556
_cell_angle_alpha 90.00
_cell_angle_beta 90.00
_cell_angle_gamma 90.00
loop_
_atom_site_label
_atom_site_type_symbol
_atom_site_fract_x
_atom_site_fract_y
_atom_site_fract_z
Cr1 Cr 0.000 0.000 0.667
Cr2 Cr 0.500 0.500 0.167
Sb1 Sb 0.000 0.000 0.333
Sb2 Sb 0.500 0.500 0.833
Te1 Te 0.000 0.000 0.000
Te2 Te 0.500 0.500 0.500
O1 O 0.702 0.298 0.676
O2 O 0.298 0.702 0.676
O3 O 0.798 0.798 0.176
O4 O 0.202 0.202 0.176
O5 O 0.681 0.319 0.002
O6 O 0.319 0.681 0.002
O7 O 0.819 0.819 0.502
O8 O 0.181 0.181 0.502
O9 O 0.698 0.302 0.322
O10 O 0.302 0.698 0.322
O11 O 0.802 0.802 0.822
O12 O 0.198 0.198 0.822


# CoPbSe2, single point on PBEsol structure, DFT meta-GGA SCAN
# Theoretical density   7.6 g cm⁻³
# Size of the total moment   1.90 μB per formula unit
# VASP energy   -133.34 eV per cell
data_CoPbSe2
_symmetry_space_group_name_H-M 'P 1'
_symmetry_Int_Tables_number 1
_symmetry_space_group_name_Hall 'P 1'
_cell_length_a 3.721
_cell_length_b 4.520
_cell_length_c 5.945
_cell_angle_alpha 112.52
_cell_angle_beta 90.00
_cell_angle_gamma 90.00
loop_
_atom_site_label
_atom_site_type_symbol
_atom_site_fract_x
_atom_site_fract_y
_atom_site_fract_z
Co1 Co 0.000 0.701 0.527
Pb1 Pb 0.500 0.304 0.732
Se1 Se 0.000 0.903 0.930
Se2 Se 0.500 0.592 0.311


# PtI3Br, single point on PBEsol structure, DFT meta-GGA SCAN
# Theoretical density   7.0 g cm⁻³
# Size of the total moment   0.01 μB per formula unit
# VASP energy   -198.75 eV per cell
data_PtI3Br
_symmetry_space_group_name_H-M 'P 1'
_symmetry_Int_Tables_number 1
_symmetry_space_group_name_Hall 'P 1'
_cell_length_a 5.372
_cell_length_b 5.372
_cell_length_c 5.372
_cell_angle_alpha 90.00
_cell_angle_beta 90.00
_cell_angle_gamma 90.00
loop_
_atom_site_label
_atom_site_type_symbol
_atom_site_fract_x
_atom_site_fract_y
_atom_site_fract_z
I1 I 0.000 0.500 0.000
I2 I 0.000 0.000 0.500
I3 I 0.500 0.000 0.000
Br1 Br 0.500 0.500 0.500
Pt1 Pt 0.000 0.000 0.000


# CaScPb2, single point on PBEsol structure, DFT meta-GGA SCAN
# Theoretical density   8.0 g cm⁻³
# Size of the total moment   0.23 μB per formula unit
# Formation enthalpy at 0 K   -2.50 eV per formula unit
# VASP energy   -177.96 eV per cell
data_CaScPb2
_symmetry_space_group_name_H-M 'P 1'
_symmetry_Int_Tables_number 1
_symmetry_space_group_name_Hall 'P 1'
_cell_length_a 3.456
_cell_length_b 4.232
_cell_length_c 7.104
_cell_angle_alpha 90.00
_cell_angle_beta 90.00
_cell_angle_gamma 90.00
loop_
_atom_site_label
_atom_site_type_symbol
_atom_site_fract_x
_atom_site_fract_y
_atom_site_fract_z
Pb1 Pb 0.000 0.000 0.771
Pb2 Pb 0.000 0.000 0.229
Sc1 Sc 0.500 0.500 0.000
Ca1 Ca 0.500 0.500 0.500


# TiZn2IrI, single point on PBEsol structure, DFT meta-GGA SCAN
# Theoretical density   7.5 g cm⁻³
# Size of the total moment   1.03 μB per formula unit
# VASP energy   -150.76 eV per cell
data_TiZn2IrI
_symmetry_space_group_name_H-M 'P 1'
_symmetry_Int_Tables_number 1
_symmetry_space_group_name_Hall 'P 1'
_cell_length_a 4.705
_cell_length_b 4.843
_cell_length_c 4.843
_cell_angle_alpha 90.00
_cell_angle_beta 90.00
_cell_angle_gamma 90.00
loop_
_atom_site_label
_atom_site_type_symbol
_atom_site_fract_x
_atom_site_fract_y
_atom_site_fract_z
I1 I 0.500 0.500 0.500
Zn1 Zn 0.000 0.000 0.500
Zn2 Zn 0.000 0.500 0.000
Ir1 Ir 0.000 0.000 0.000
Ti1 Ti 0.500 0.000 0.000


# TaBeIn2, single point on PBEsol structure, DFT meta-GGA SCAN
# Theoretical density   10.1 g cm⁻³
# Size of the total moment   0.00 μB per formula unit
# Formation enthalpy at 0 K   1.16 eV per formula unit
# VASP energy   -136.55 eV per cell
data_TaBeIn2
_symmetry_space_group_name_H-M 'P 1'
_symmetry_Int_Tables_number 1
_symmetry_space_group_name_Hall 'P 1'
_cell_length_a 3.914
_cell_length_b 3.914
_cell_length_c 5.301
_cell_angle_alpha 111.66
_cell_angle_beta 111.66
_cell_angle_gamma 90.00
loop_
_atom_site_label
_atom_site_type_symbol
_atom_site_fract_x
_atom_site_fract_y
_atom_site_fract_z
Be1 Be 0.500 0.500 0.000
In1 In 0.750 0.250 0.500
In2 In 0.250 0.750 0.500
Ta1 Ta 0.000 0.000 0.000


# KBaSe, single point on PBEsol structure, DFT meta-GGA SCAN
# Theoretical density   3.7 g cm⁻³
# Size of the total moment   0.96 μB per formula unit
# VASP energy   -71.81 eV per cell
data_KBaSe
_symmetry_space_group_name_H-M 'P 1'
_symmetry_Int_Tables_number 1
_symmetry_space_group_name_Hall 'P 1'
_cell_length_a 5.438
_cell_length_b 5.438
_cell_length_c 5.438
_cell_angle_alpha 60.00
_cell_angle_beta 60.00
_cell_angle_gamma 60.00
loop_
_atom_site_label
_atom_site_type_symbol
_atom_site_fract_x
_atom_site_fract_y
_atom_site_fract_z
Ba1 Ba 0.000 0.000 0.000
K1 K 0.500 0.500 0.500
Se1 Se 0.250 0.250 0.250


# RbSnCl2, single point on PBEsol structure, DFT meta-GGA SCAN
# Theoretical density   3.6 g cm⁻³
# Size of the total moment   0.00 μB per formula unit
# VASP energy   -77.28 eV per cell
data_RbSnCl2
_symmetry_space_group_name_H-M 'P 1'
_symmetry_Int_Tables_number 1
_symmetry_space_group_name_Hall 'P 1'
_cell_length_a 3.890
_cell_length_b 3.890
_cell_length_c 9.888
_cell_angle_alpha 78.65
_cell_angle_beta 78.65
_cell_angle_gamma 60.00
loop_
_atom_site_label
_atom_site_type_symbol
_atom_site_fract_x
_atom_site_fract_y
_atom_site_fract_z
Sn1 Sn 0.000 0.000 0.000
Rb1 Rb 0.500 0.500 0.500
Cl1 Cl 0.908 0.908 0.276
Cl2 Cl 0.092 0.092 0.724


# GeTeW2S, single point on PBEsol structure, DFT meta-GGA SCAN
# Theoretical density   8.0 g cm⁻³
# Size of the total moment   1.93 μB per formula unit
# VASP energy   -192.29 eV per cell
data_GeTeW2S
_symmetry_space_group_name_H-M 'P 1'
_symmetry_Int_Tables_number 1
_symmetry_space_group_name_Hall 'P 1'
_cell_length_a 4.923
_cell_length_b 4.923
_cell_length_c 5.169
_cell_angle_alpha 90.00
_cell_angle_beta 90.00
_cell_angle_gamma 90.00
loop_
_atom_site_label
_atom_site_type_symbol
_atom_site_fract_x
_atom_site_fract_y
_atom_site_fract_z
Ge1 Ge 0.000 0.000 0.500
Te1 Te 0.000 0.000 0.000
S1 S 0.500 0.500 0.500
W1 W 0.000 0.500 0.000
W2 W 0.500 0.000 0.000


# FeSnRh2Au, single point on PBEsol structure, DFT meta-GGA SCAN
# Theoretical density   9.1 g cm⁻³
# Size of the total moment   4.85 μB per formula unit
# Formation enthalpy at 0 K   5.96 eV per formula unit
# VASP energy   -184.79 eV per cell
data_FeSnRh2Au
_symmetry_space_group_name_H-M 'P 1'
_symmetry_Int_Tables_number 1
_symmetry_space_group_name_Hall 'P 1'
_cell_length_a 4.513
_cell_length_b 4.843
_cell_length_c 4.843
_cell_angle_alpha 90.00
_cell_angle_beta 90.00
_cell_angle_gamma 90.00
loop_
_atom_site_label
_atom_site_type_symbol
_atom_site_fract_x
_atom_site_fract_y
_atom_site_fract_z
Rh1 Rh 0.000 0.000 0.500
Rh2 Rh 0.000 0.500 0.000
Au1 Au 0.000 0.000 0.000
Sn1 Sn 0.500 0.500 0.500
Fe1 Fe 0.500 0.000 0.000


# Rh2Pb3, single point on PBEsol structure, DFT meta-GGA SCAN
# Theoretical density   12.9 g cm⁻³
# Size of the total moment   0.00 μB per formula unit
# Formation enthalpy at 0 K   0.08 eV per formula unit
# VASP energy   -294.80 eV per cell
data_Rh2Pb3
_symmetry_space_group_name_H-M 'P 1'
_symmetry_Int_Tables_number 1
_symmetry_space_group_name_Hall 'P 1'
_cell_length_a 4.651
_cell_length_b 4.651
_cell_length_c 5.707
_cell_angle_alpha 90.00
_cell_angle_beta 90.00
_cell_angle_gamma 120.00
loop_
_atom_site_label
_atom_site_type_symbol
_atom_site_fract_x
_atom_site_fract_y
_atom_site_fract_z
Pb1 Pb 0.000 0.000 0.000
Pb2 Pb 0.333 0.667 0.348
Pb3 Pb 0.667 0.333 0.652
Rh1 Rh 0.333 0.667 0.849
Rh2 Rh 0.667 0.333 0.151